No. 1
The following is a PBEsol calculation of crystalline CrRe4Si at its relaxed geometry, from Alexandria via LeMat-Bulk.

Lattice parameters (Å, degrees): 5.0844 5.0844 5.0844 60.00 60.00 60.00
Closest atoms and distances in Å follow each position.
Element x y z (fractional)
Re1 0.3750 0.3750 0.8750  6 Re 2.54
Re2 0.3750 0.3750 0.3750  6 Re 2.54
Re3 0.3750 0.8750 0.3750  6 Re 2.54
Re4 0.8750 0.3750 0.3750  6 Re 2.54
Cr1 0.0000 0.0000 0.0000  12 Re 2.98, 4 Si 3.11
Si1 0.7500 0.7500 0.7500  12 Re 2.98, 4 Cr 3.11

**Total moment**: 2.252 μB/f.u.
**DFT total energy**: -10.85 eV per atom
**Density**: 14.74 Mg/m³
**Raw formation energy**: 704 meV/atom
**Symmetry**: F-43m (216)

---

No. 2
The following is a PBEsol calculation of crystalline Li2Al at its relaxed geometry, from Alexandria via LeMat-Bulk.

Lattice parameters (Å, degrees): 2.6721 8.0461 8.0461 120.00 90.00 90.00
Closest atoms and distances in Å follow each position.
Element x y z (fractional)
Li1 0.0000 0.6869 0.6869  2 Li 2.67, 4 Al 2.77-2.85
Li2 0.5000 0.0000 0.6461  2 Li 2.67, 5 Al 2.85-2.93
Li3 0.5000 0.6461 0.0000  2 Li 2.67, 5 Al 2.85-2.93
Li4 0.0000 0.3131 0.0000  2 Li 2.67, 4 Al 2.77-2.85
Li5 0.0000 0.0000 0.3131  2 Li 2.67, 4 Al 2.77-2.85
Li6 0.5000 0.3539 0.3539  2 Li 2.67, 5 Al 2.85-2.93
Al1 0.5000 0.0000 0.0000  2 Al 2.67, 9 Li 2.85
Al2 0.0000 0.6667 0.3333  2 Al 2.67, 9 Li 2.77-2.93
Al3 0.0000 0.3333 0.6667  2 Al 2.67, 9 Li 2.77-2.93

**Total moment**: 0.000 μB/f.u.
**DFT total energy**: -2.76 eV per atom
**Density**: 1.36 Mg/m³
**Symmetry**: P-62m (189)
**ΔH_f (0 K)**: -0.2 eV/f.u.

---

No. 3
The following is a PBEsol calculation of crystalline Cs2KNdCl6 at its relaxed geometry, from Alexandria via LeMat-Bulk.

Lattice parameters (Å, degrees): 7.9693 7.9693 7.9693 60.00 60.00 60.00
Closest atoms and distances in Å follow each position.
Element x y z (fractional)
Cl1 0.2391 0.7609 0.2391  1 Nd 2.69, 1 K 2.94
Cl2 0.2391 0.7609 0.7609  1 Nd 2.69, 1 K 2.94
Cl3 0.2391 0.2391 0.7609  1 Nd 2.69, 1 K 2.94
Cl4 0.7609 0.2391 0.7609  1 Nd 2.69, 1 K 2.94
Cl5 0.7609 0.2391 0.2391  1 Nd 2.69, 1 K 2.94
Cl6 0.7609 0.7609 0.2391  1 Nd 2.69, 1 K 2.94
K1 0.5000 0.5000 0.5000  6 Cl 2.94
Cs1 0.7500 0.7500 0.7500  12 Cl 3.99
Cs2 0.2500 0.2500 0.2500  12 Cl 3.99
Nd1 0.0000 0.0000 0.0000  6 Cl 2.69

**Total moment**: 0.111 μB/f.u.
**DFT total energy**: -4.13 eV per atom
**Density**: 3.07 Mg/m³
**Raw formation energy**: -2109 meV/atom
**Symmetry**: Fm-3m (225)

---

No. 4
The following is a PBEsol calculation of crystalline Li2LaCl at its relaxed geometry, from Alexandria via LeMat-Bulk.

Lattice parameters (Å, degrees): 3.4465 5.4018 5.6099 90.00 90.00 90.00
Closest atoms and distances in Å follow each position.
Element x y z (fractional)
Cl1 0.5000 0.5000 0.0000  2 La 2.80
La1 0.5000 0.5000 0.5000  2 Cl 2.80
Li1 0.0000 0.0000 0.7381  2 Li 2.67-2.94
Li2 0.0000 0.0000 0.2619  2 Li 2.67-2.94

**Total moment**: 0.000 μB/f.u.
**DFT total energy**: -3.27 eV per atom
**E above lowest polymorph**: 23 meV/atom
**Density**: 2.99 Mg/m³
**Raw formation energy**: -448 meV/atom
**Symmetry**: Pmmm (47)

---

No. 5
The following is a PBEsol calculation of crystalline NaSr3Ag at its relaxed geometry, from Alexandria via LeMat-Bulk.

Lattice parameters (Å, degrees): 6.1306 6.1306 6.1306 90.00 90.00 90.00
Closest atoms and distances in Å follow each position.
Element x y z (fractional)
Na1 0.5000 0.5000 0.5000  12 Sr 4.33
Sr1 0.0000 0.5000 0.0000  2 Ag 3.07
Sr2 0.0000 0.0000 0.5000  2 Ag 3.07
Sr3 0.5000 0.0000 0.0000  2 Ag 3.07
Ag1 0.0000 0.0000 0.0000  6 Sr 3.07

**Total moment**: 0.000 μB/f.u.
**DFT total energy**: -2.09 eV per atom
**Density**: 2.84 Mg/m³
**Symmetry**: Pm-3m (221)
**ΔH_f (0 K)**: -0.2 eV/f.u.

---

No. 6
The following is a PBEsol calculation of crystalline Be2CrTe at its relaxed geometry, from Alexandria via LeMat-Bulk.

Lattice parameters (Å, degrees): 4.2745 4.2745 4.2745 60.00 60.00 60.00
Closest atoms and distances in Å follow each position.
Element x y z (fractional)
Be1 0.0000 0.0000 0.0000  4 Be 2.62, 4 Te 2.62
Be2 0.7500 0.7500 0.7500  4 Cr 2.62, 4 Be 2.62
Cr1 0.5000 0.5000 0.5000  4 Te 2.62, 4 Be 2.62
Te1 0.2500 0.2500 0.2500  4 Be 2.62, 4 Cr 2.62

**Total moment**: 2.266 μB/f.u.
**DFT total energy**: -4.68 eV per atom
**Density**: 5.94 Mg/m³
**Raw formation energy**: 765 meV/atom
**Symmetry**: F-43m (216)

---

No. 7
The following is a PBEsol calculation of crystalline CrPdSeN2 at its relaxed geometry, from Alexandria via LeMat-Bulk.

Lattice parameters (Å, degrees): 3.5889 3.5889 5.2056 90.00 90.00 90.00
Closest atoms and distances in Å follow each position.
Element x y z (fractional)
Se1 0.0000 0.0000 0.5000  4 Pd 2.54, 2 Cr 2.60
Pd1 0.5000 0.5000 0.5000  4 Se 2.54
Cr1 0.0000 0.0000 0.0000  4 N 1.79
N1 0.5000 0.0000 0.0000  2 Cr 1.79
N2 0.0000 0.5000 0.0000  2 Cr 1.79

**Total moment**: 0.258 μB/f.u.
**DFT total energy**: -7.00 eV per atom
**Density**: 6.57 Mg/m³
**Raw formation energy**: 426 meV/atom
**Symmetry**: P4/mmm (123)

---

No. 8
The following is a PBEsol calculation of crystalline CoSeCl2 at its relaxed geometry, from Alexandria via LeMat-Bulk.

Lattice parameters (Å, degrees): 3.0559 3.1846 9.5823 90.00 90.00 118.67
Closest atoms and distances in Å follow each position.
Element x y z (fractional)
Cl1 0.0000 0.0000 0.3409  2 Co 2.16
Cl2 0.0000 0.0000 0.6591  2 Co 2.16
Co1 0.5000 0.0000 0.5000  4 Cl 2.16
Se1 0.5000 0.0000 0.0000  6 Se 3.06-3.18

**Total moment**: 1.291 μB/f.u.
**DFT total energy**: -3.84 eV per atom
**E above lowest polymorph**: 102 meV/atom
**Density**: 4.24 Mg/m³
**Raw formation energy**: 60 meV/atom
**Symmetry**: Cmmm (65)